Entry 1:
KReAg | GGA-PBE | relaxed

Cell lengths 5.185, 5.185, 5.185 Å; angles 60.00, 60.00, 60.00 degrees
Sites, in units of the cell vectors:
1 K 0.000 0.000 0.000
2 Re 0.750 0.750 0.750
3 Ag 0.250 0.250 0.250

Properties
Mass density: 5.61 g cm⁻³
Density of states at the Fermi level: 1.3701 states/eV per atom
Total moment: 4.38 μB per cell
DFT formation energy: 2438 meV/atom
Energy above the most stable polymorph in this dataset: 1430.8 meV per atom

Entry 2:
KRe2Ag | GGA-PBE | relaxed

Cell lengths 2.676, 5.570, 5.083 Å; angles 90.00, 94.91, 90.00 degrees
Sites, in units of the cell vectors:
1 K 0.000 0.000 0.000
2 Re 0.327 0.500 0.760
3 Re 0.673 0.500 0.240
4 Ag 0.500 0.000 0.500

Properties
Mass density: 11.43 g cm⁻³
Density of states at the Fermi level: 0.8689 states/eV per atom
Total moment: 0.00 μB per cell
DFT formation energy: 1198 meV/atom
Energy above the most stable polymorph in this dataset: 542.3 meV per atom

Entry 3:
KReAg | GGA-PBE | relaxed

Cell lengths 8.662, 8.528, 2.752 Å; angles 83.54, 78.06, 18.40 degrees
Sites, in units of the cell vectors:
1 K 0.000 0.000 0.000
2 Re 0.674 0.674 0.326
3 Ag 0.316 0.316 0.684

Properties
Mass density: 9.15 g cm⁻³
Density of states at the Fermi level: 0.8569 states/eV per atom
Total moment: 0.00 μB per cell
DFT formation energy: 1025 meV/atom
Energy above the most stable polymorph in this dataset: 18.0 meV per atom